Record 1
Dy2YHo7 | PBE | optimized geometry

## Properties
polymorph energy (0 for the lowest one): 45 meV per atom
energy of formation from the pure elements: 0.6999 eV/atom
V: 38.50 Å³ per atom
symmetry: Cmmm, No. 65

Unit cell a=5.2407 b=9.5218 c=9.5218 alpha=125.88 beta=90.00 gamma=90.00
With the nearest neighbours (Å) after each atom.
Sites, in units of the cell vectors:
Ho: 0.0000 0.8016 0.1984  2 Dy 3.12, 1 Y 3.36, 4 Ho 3.39
Ho: 0.5000 0.2882 0.0685  4 Ho 3.09-3.39, 1 Dy 3.19
Ho: 0.5000 0.9315 0.7118  4 Ho 3.09-3.39, 1 Dy 3.19
Ho: 0.0000 0.1984 0.8016  2 Dy 3.12, 1 Y 3.36, 4 Ho 3.39
Ho: 0.5000 0.7118 0.9315  4 Ho 3.09-3.39, 1 Dy 3.19
Ho: 0.5000 0.5000 0.5000  4 Ho 3.35, 2 Dy 3.42
Ho: 0.5000 0.0685 0.2882  4 Ho 3.09-3.39, 1 Dy 3.19
Dy: 0.5000 0.7017 0.2983  5 Ho 3.12-3.42
Dy: 0.5000 0.2983 0.7017  5 Ho 3.12-3.42
Y: 0.0000 0.0000 0.0000  10 Ho 3.36-3.57



Record 2
Ba3SnH | PBE | optimized geometry

## Properties
polymorph energy (0 for the lowest one): 16 meV per atom
V: 41.11 Å³ per atom
symmetry: P2_1/m, No. 11

Unit cell a=5.8625 b=8.0479 c=9.1943 alpha=90.00 beta=108.63 gamma=90.00
With the nearest neighbours (Å) after each atom.
Sites, in units of the cell vectors:
Ba: 0.0501 0.7500 0.1006  2 H 2.98-3.00
Ba: 0.3278 0.5110 0.6548  1 H 2.61
Ba: 0.6722 0.4890 0.3452  1 H 2.61
Ba: 0.9499 0.2500 0.8994  2 H 2.98-3.00
Ba: 0.3278 0.9890 0.6548  1 H 2.61
Ba: 0.6722 0.0110 0.3452  1 H 2.61
Sn: 0.1463 0.2500 0.2937  7 Ba 3.43-3.78
Sn: 0.8537 0.7500 0.7063  7 Ba 3.43-3.78
H: 0.5814 0.7500 0.1665  2 Ba 2.61
H: 0.4186 0.2500 0.8335  2 Ba 2.61



Record 3
SrBeCr2 | PBE | optimized geometry

## Properties
energy of formation from the pure elements: 0.9239 eV/atom
V: 20.48 Å³ per atom
symmetry: Immm, No. 71

Unit cell a=5.7627 b=5.7627 c=5.7627 alpha=147.91 beta=125.45 gamma=64.71
With the nearest neighbours (Å) after each atom.
Sites, in units of the cell vectors:
Cr: 0.4424 0.4424 0.0000  2 Be 2.46
Cr: 0.0576 0.0576 0.0000  2 Be 2.46
Sr: 0.7500 0.2500 0.5000  4 Be 3.08, 2 Sr 3.19, 8 Cr 3.24-3.39
Be: 0.2500 0.7500 0.5000  4 Cr 2.46



Record 4
Rb5CeTe5 | PBE | optimized geometry

## Properties
uncorrected energy: -37.150 eV for the cell shown
V: 50.19 Å³ per atom
symmetry: C2/m, No. 12

Unit cell a=6.8967 b=9.1399 c=10.0036 alpha=107.58 beta=90.00 gamma=112.17
With the nearest neighbours (Å) after each atom.
Sites, in units of the cell vectors:
Rb: 0.3005 0.6010 0.6845  5 Te 3.58-3.99
Rb: 0.0000 0.0000 0.5000  4 Te 3.49-3.63
Rb: 0.3227 0.6455 0.1484  5 Te 3.53-3.81
Rb: 0.6773 0.3545 0.8516  5 Te 3.53-3.81
Rb: 0.6995 0.3990 0.3155  5 Te 3.58-3.99
Te: 0.1314 0.2628 0.8515  1 Ce 3.05
Te: 0.8686 0.7372 0.1485  1 Ce 3.05
Te: 0.1397 0.2794 0.2915  1 Ce 3.10
Te: 0.8603 0.7206 0.7085  1 Ce 3.10
Te: 0.5000 0.0000 0.0000  2 Ce 3.45, 4 Rb 3.76-3.80
Ce: 0.0000 0.0000 0.0000  4 Te 3.05-3.10



Record 5
RbVI | PBE | optimized geometry

## Properties
polymorph energy (0 for the lowest one): 104 meV per atom
V: 41.60 Å³ per atom
symmetry: Pmm2, No. 25

Unit cell a=10.2756 b=4.5788 c=5.3048 alpha=90.00 beta=90.00 gamma=90.00
With the nearest neighbours (Å) after each atom.
Sites, in units of the cell vectors:
Rb: 0.2957 0.0000 0.5513  6 I 3.80-4.09, 1 Rb 4.20, 2 V 4.26
Rb: 0.7043 0.0000 0.5513  6 I 3.80-4.09, 1 Rb 4.20, 2 V 4.26
I: 0.5000 0.5000 0.0506  8 Rb 4.08-4.09
I: 0.0000 0.5000 0.5532  4 V 2.80
V: 0.0000 0.6958 0.0532  1 V 1.79
V: 0.0000 0.3042 0.0532  1 V 1.79



Record 6
MgCuO2 | PBE | optimized geometry

## Properties
uncorrected energy: -18.759 eV for the cell shown
V: 12.09 Å³ per atom
symmetry: R-3m, No. 166

Unit cell a=6.0404 b=6.0404 c=6.0404 alpha=29.85 beta=29.85 gamma=29.85
With the nearest neighbours (Å) after each atom.
Sites, in units of the cell vectors:
O: 0.8921 0.8921 0.8921  1 Mg 1.87, 3 Cu 2.06
O: 0.1079 0.1079 0.1079  1 Mg 1.87, 3 Cu 2.06
Mg: 0.0000 0.0000 0.0000  2 O 1.87
Cu: 0.5000 0.5000 0.5000  6 O 2.06



no.,Fermi-level density of states (states/eV/cell)
1,12.5
2,3.5
3,3.1
4,13.7
5,2.6
6,1.3